Entry 1:
Density functional theory data (PBE) for crystalline CuIrAu2 at its relaxed geometry.

Lattice parameters (Å, degrees): 2.775 2.775 9.570 90.00 90.00 119.36
Fractional positions:
Cu (0.000, 0.000, 0.000)
Ir (0.500, 0.500, 0.778)
Au (0.000, 0.000, 0.515)
Au (0.500, 0.500, 0.239)

The value obtained for the formation enthalpy at 0 K is 0.2071 eV/atom.

Entry 2:
Density functional theory data (PBE) for crystalline CuIrAu2 at its relaxed geometry.

Lattice parameters (Å, degrees): 4.480 4.480 4.480 60.00 60.00 60.00
Fractional positions:
Cu (0.000, 0.000, 0.000)
Ir (0.750, 0.750, 0.750)
Au (0.250, 0.250, 0.250)
Au (0.500, 0.500, 0.500)

The value obtained for the formation enthalpy at 0 K is 0.3724 eV/atom.

Entry 3:
Density functional theory data (PBE) for crystalline CuIrAu2 at its relaxed geometry.

Lattice parameters (Å, degrees): 4.117 4.117 3.731 90.00 90.00 90.00
Fractional positions:
Cu (0.000, 0.000, 0.000)
Ir (0.500, 0.500, 0.000)
Au (0.000, 0.500, 0.500)
Au (0.500, 0.000, 0.500)

The value obtained for the formation enthalpy at 0 K is 0.2840 eV/atom.

Entry 4:
Density functional theory data (PBE) for crystalline Cu4IrAu at its relaxed geometry.

Lattice parameters (Å, degrees): 4.827 4.827 4.827 60.00 60.00 60.00
Fractional positions:
Cu (0.124, 0.124, 0.124)
Cu (0.124, 0.124, 0.627)
Cu (0.124, 0.627, 0.124)
Cu (0.627, 0.124, 0.124)
Ir (0.750, 0.750, 0.750)
Au (0.500, 0.500, 0.500)

The value obtained for the formation enthalpy at 0 K is 0.1549 eV/atom.

Entry 5:
Density functional theory data (PBE) for crystalline CuIrAu2 at its relaxed geometry.

Lattice parameters (Å, degrees): 4.947 4.947 4.858 102.27 102.27 33.03
Fractional positions:
Cu (0.000, 0.000, 0.000)
Ir (0.267, 0.267, 0.756)
Au (0.514, 0.514, 0.519)
Au (0.750, 0.750, 0.239)

The value obtained for the formation enthalpy at 0 K is 0.2263 eV/atom.

Entry 6:
Density functional theory data (PBE) for crystalline CuIrAu2 at its relaxed geometry.

Lattice parameters (Å, degrees): 2.733 3.982 5.808 90.00 91.22 90.00
Fractional positions:
Cu (0.000, 0.000, 0.000)
Ir (0.000, 0.000, 0.500)
Au (0.493, 0.500, 0.244)
Au (0.507, 0.500, 0.756)

The value obtained for the formation enthalpy at 0 K is 0.2695 eV/atom.

Entry 7:
Density functional theory data (PBE) for crystalline CuIr4Au at its relaxed geometry.

Lattice parameters (Å, degrees): 5.185 5.185 5.185 60.00 60.00 60.00
Fractional positions:
Cu (0.000, 0.000, 0.000)
Ir (0.375, 0.375, 0.375)
Ir (0.375, 0.375, 0.875)
Ir (0.375, 0.875, 0.375)
Ir (0.875, 0.375, 0.375)
Au (0.750, 0.750, 0.750)

The value obtained for the formation enthalpy at 0 K is 0.6505 eV/atom.

Entry 8:
Density functional theory data (PBE) for crystalline CuIrAu2 at its relaxed geometry.

Lattice parameters (Å, degrees): 4.848 4.848 2.792 90.07 90.07 106.20
Fractional positions:
Cu (0.000, 0.000, 0.000)
Ir (0.500, 0.500, 0.000)
Au (0.000, 0.500, 0.500)
Au (0.500, 0.000, 0.500)

The value obtained for the formation enthalpy at 0 K is 0.1942 eV/atom.